1.
First-principles (GGA-PBE) data for a geometry-optimized Y12Tm7Zr structure, as listed in Alexandria via LeMat-Bulk.

Computed properties:
E above lowest polymorph in kcal/mol of atoms: 1.517
SG: R-3m (166)
DFT total energy in eV/atom: -5.5610

Unit cell a=9.9425 b=9.9425 c=9.9425 alpha=113.16 beta=113.16 gamma=113.16
Last column: nearest neighbours and their distance in Å.
Element x y z (fractional)
Y: 0.0000 0.2888 0.7112  2 Y 2.94, 2 Tm 3.29
Y: 0.0000 0.7112 0.2888  2 Y 2.94, 2 Tm 3.29
Y: 0.0918 0.4301 0.4301  1 Y 3.11, 2 Tm 3.17
Y: 0.2888 0.0000 0.7112  2 Y 2.94, 2 Tm 3.29
Y: 0.2888 0.7112 0.0000  2 Y 2.94, 2 Tm 3.29
Y: 0.4301 0.0918 0.4301  1 Y 3.11, 2 Tm 3.17
Y: 0.4301 0.4301 0.0918  1 Y 3.11, 2 Tm 3.17
Y: 0.5699 0.5699 0.9082  1 Y 3.11, 2 Tm 3.17
Y: 0.5699 0.9082 0.5699  1 Y 3.11, 2 Tm 3.17
Y: 0.7112 0.0000 0.2888  2 Y 2.94, 2 Tm 3.29
Y: 0.7112 0.2888 0.0000  2 Y 2.94, 2 Tm 3.29
Y: 0.9082 0.5699 0.5699  1 Y 3.11, 2 Tm 3.17
Tm: 0.1383 0.1383 0.4474  7 Y 3.17-3.52, 1 Zr 3.53
Tm: 0.1383 0.4474 0.1383  7 Y 3.17-3.52, 1 Zr 3.53
Tm: 0.4474 0.1383 0.1383  7 Y 3.17-3.52, 1 Zr 3.53
Tm: 0.5000 0.5000 0.5000  6 Y 3.55, 6 Tm 3.61, 2 Zr 3.98
Tm: 0.5526 0.8617 0.8617  7 Y 3.17-3.52, 1 Zr 3.53
Tm: 0.8617 0.5526 0.8617  7 Y 3.17-3.52, 1 Zr 3.53
Tm: 0.8617 0.8617 0.5526  7 Y 3.17-3.52, 1 Zr 3.53
Zr: 0.0000 0.0000 0.0000  6 Tm 3.53

=====

2.
First-principles (GGA-PBE) data for a geometry-optimized Dy2CoPd structure, as listed in Alexandria via LeMat-Bulk.

Computed properties:
SG: P4/mmm (123)
DFT total energy in eV/atom: -5.9068

Unit cell a=3.4022 b=3.4022 c=6.9058 alpha=90.00 beta=90.00 gamma=90.00
Last column: nearest neighbours and their distance in Å.
Element x y z (fractional)
Dy: 0.0000 0.0000 0.2372  4 Co 2.91, 4 Pd 3.01
Dy: 0.0000 0.0000 0.7628  4 Co 2.91, 4 Pd 3.01
Co: 0.5000 0.5000 0.0000  8 Dy 2.91
Pd: 0.5000 0.5000 0.5000  8 Dy 3.01